Material: Li2MnCrO4
Method: DFT, PBE with a Hubbard U
State: relaxed

Results
Distance to the lowest polymorph of the same formula (eV/f.u.): 0.08
E (eV/atom): -6.74

The structure in POSCAR format:
```
Li2MnCrO4
1.0
-1.9798 0.6006 2.0752
-3.7561 -2.1498 -2.9612
2.2630 -3.5551 3.1880
Li Mn Cr O
2 1 1 4
direct
0.0000 0.0000 0.0000
0.5000 0.0000 0.5000
0.5000 0.5000 0.0000
0.0000 0.5000 0.5000
0.0000 0.2886 0.7588
0.0000 0.7114 0.2412
0.5000 0.2582 0.2691
0.5000 0.7418 0.7309
```